[1]
The following is a GGA-PBE calculation of CaTi2Pt after structural relaxation, from Alexandria via LeMat-Bulk.

Unit cell a=6.2091 b=6.2091 c=6.2091 alpha=102.58 beta=102.58 gamma=124.37
With the nearest neighbours (Å) after each atom.
Element x y z (fractional)
Ca1 0.0000 0.0000 0.0000  2 Pt 2.90, 4 Ti 3.21
Ca2 0.7500 0.2500 0.5000  2 Pt 2.90, 4 Ti 3.21
Ti1 0.1905 0.6250 0.0655  2 Pt 2.52
Ti2 0.3750 0.4405 0.5655  2 Pt 2.52
Ti3 0.5595 0.1250 0.9345  2 Pt 2.52
Ti4 0.8750 0.8095 0.4345  2 Pt 2.52
Pt1 0.2500 0.7500 0.5000  4 Ti 2.52
Pt2 0.5000 0.5000 0.0000  4 Ti 2.52

Results
* ΔH_f (0 K): -0.07 eV per atom
* space group: I-42d (122)
* polymorph energy (0 for the lowest one): 0 meV/atom
* total magnetization: 0.0 μB/cell

---

[2]
The following is a GGA-PBE calculation of YBe2VRu after structural relaxation, from Alexandria via LeMat-Bulk.

Unit cell a=4.4977 b=4.4977 c=4.3856 alpha=90.00 beta=90.00 gamma=90.00
With the nearest neighbours (Å) after each atom.
Element x y z (fractional)
Y1 0.0000 0.0000 0.0000  2 V 2.19, 4 Be 2.25
Be1 0.0000 0.5000 0.0000  2 Y 2.25
Be2 0.5000 0.0000 0.0000  2 Y 2.25
V1 0.0000 0.0000 0.5000  2 Y 2.19
Ru1 0.5000 0.5000 0.5000  8 Be 3.14, 4 V 3.18

Results
* ΔH_f (0 K): 2.27 eV per atom
* space group: P4/mmm (123)
* total magnetization: 0.9 μB/cell

---

[3]
The following is a GGA-PBE calculation of Sm6PuHg5 after structural relaxation, from Alexandria via LeMat-Bulk.

Unit cell a=9.2741 b=9.2741 c=9.2741 alpha=146.52 beta=130.53 gamma=61.05
With the nearest neighbours (Å) after each atom.
Element x y z (fractional)
Sm1 0.0810 0.3324 0.7485  7 Hg 3.25-3.42, 1 Pu 3.31
Sm2 0.2350 0.0000 0.2350  6 Hg 3.23-3.27, 2 Pu 3.37
Sm3 0.4161 0.6676 0.7485  7 Hg 3.25-3.42, 1 Pu 3.31
Sm4 0.5839 0.3324 0.2515  7 Hg 3.25-3.42, 1 Pu 3.31
Sm5 0.7650 0.0000 0.7650  6 Hg 3.23-3.27, 2 Pu 3.37
Sm6 0.9190 0.6676 0.2515  7 Hg 3.25-3.42, 1 Pu 3.31
Pu1 0.5000 0.5000 0.0000  8 Sm 3.31-3.37, 4 Hg 3.65
Hg1 0.0000 0.5000 0.5000  8 Sm 3.23-3.30
Hg2 0.1698 0.1698 0.0000  8 Sm 3.25-3.30
Hg3 0.3441 0.8441 0.5000  8 Sm 3.23-3.42
Hg4 0.6559 0.1559 0.5000  8 Sm 3.23-3.42
Hg5 0.8302 0.8302 0.0000  8 Sm 3.25-3.30

Results
* ΔH_f (0 K): -0.34 eV per atom
* space group: Immm (71)
* total magnetization: 8.5 μB/cell